1.
Entry from Alexandria via LeMat-Bulk: a geometry-optimized IrOs structure (PBEsol).

a b c (Å): 2.7027 2.7027 7.6634
angles (deg): 90.00 90.00 90.00
Element x y z (fractional)
1 Ir 0.2500 0.2500 0.1283
2 Ir 0.7500 0.7500 0.8717
3 Os 0.2500 0.2500 0.6237
4 Os 0.7500 0.7500 0.3763

Computed properties:
As for the symmetry: P4/nmm, No. 129.



2.
Entry from Alexandria via LeMat-Bulk: a geometry-optimized Ir2Os structure (PBEsol).

a b c (Å): 6.0651 6.0651 6.0651
angles (deg): 154.21 154.21 36.79
Element x y z (fractional)
1 Ir 0.1633 0.1633 0.0000
2 Ir 0.8367 0.8367 0.0000
3 Os 0.5000 0.5000 0.0000

Computed properties:
As for the symmetry: I4/mmm, No. 139.



Energy in eV/atom, matching the order above: -10.985; -10.620
E_form in eV/atom, matching the order above: 0.034; 0.001